A plane-wave DFT calculation with PBE with a Hubbard U was carried out for MoS3O after structural relaxation.

The structure in POSCAR format:
```
MoS3O
1.0
4.268 0.000 0.000
0.000 4.268 0.000
0.000 0.000 4.268
Mo S O
1 3 1
Direct
0.000 0.000 0.000
0.000 0.500 0.500
0.500 0.000 0.500
0.500 0.500 0.000
0.500 0.500 0.500
```

Values from the calculation:
- E: -4.12 eV per atom
- Offset from the most stable computed form: 0.000 eV per atom